Record 1
Below is BaAlV2Pd after structural relaxation, with properties calculated at the PBE level.

```
BaAlV2Pd
1.0
4.870 0.000 0.000
0.000 4.870 0.000
0.000 0.000 5.197
Ba Al V Pd
1 1 2 1
Cartesian
0.000 0.000 0.000 Ba
2.435 2.435 2.599 Al
0.000 2.435 0.000 V
2.435 0.000 0.000 V
0.000 0.000 2.599 Pd
```

## Properties
Energy relative to the elements (eV per atom): 2.19
Spin magnetization (μB per atom): 0.000
Symmetry: P4/mmm

Record 2
Below is BaAlZn2Pd after structural relaxation, with properties calculated at the PBE level.

```
BaAlZn2Pd
1.0
4.971 0.000 0.000
0.000 4.971 0.000
0.000 0.000 5.883
Ba Al Zn Pd
1 1 2 1
Cartesian
0.000 0.000 0.000 Ba
2.485 2.485 0.000 Al
0.000 2.485 2.941 Zn
2.485 0.000 2.941 Zn
0.000 0.000 2.941 Pd
```

## Properties
Relative energy among the computed polymorphs (eV per atom): 0.450
Energy relative to the elements (eV per atom): 0.11
Spin magnetization (μB per atom): 0.000
Symmetry: P4/mmm

Record 3
Below is BaAlZnPd after structural relaxation, with properties calculated at the PBE level.

```
BaAlZnPd
1.0
2.213 1.278 5.965
-2.213 1.278 5.965
0.000 -2.555 5.965
Ba Al Zn Pd
1 1 1 1
Cartesian
0.000 0.000 0.000 Ba
0.000 0.000 3.455 Al
0.000 0.000 14.466 Zn
0.000 0.000 9.084 Pd
```

## Properties
Energy relative to the elements (eV per atom): -0.48
Spin magnetization (μB per atom): 0.000
Symmetry: R3m

Record 4
Below is Ba2Al6ZnPd after structural relaxation, with properties calculated at the PBE level.

```
Ba2Al6ZnPd
1.0
6.670 0.000 0.000
3.334 5.780 0.000
3.333 1.896 6.201
Ba Al Zn Pd
2 6 1 1
Cartesian
3.334 1.920 2.437 Ba
10.002 5.757 3.764 Ba
6.656 5.342 5.354 Al
5.360 3.051 5.344 Al
5.349 4.606 0.857 Al
7.987 3.071 5.344 Al
7.976 4.626 0.857 Al
6.681 2.335 0.846 Al
6.668 3.838 3.100 Zn
0.000 0.000 0.000 Pd
```

## Properties
Energy relative to the elements (eV per atom): -0.33
Spin magnetization (μB per atom): 0.000
Symmetry: P-1

Record 5
Below is BaAl2ZnPd after structural relaxation, with properties calculated at the PBE level.

```
BaAl2ZnPd
1.0
4.864 0.000 0.000
0.000 4.864 0.000
0.000 0.000 5.007
Ba Al Zn Pd
1 2 1 1
Cartesian
0.000 0.000 0.000 Ba
0.000 2.432 2.503 Al
2.432 0.000 2.503 Al
2.432 2.432 0.000 Zn
2.432 2.432 2.503 Pd
```

## Properties
Energy relative to the elements (eV per atom): -0.34
Spin magnetization (μB per atom): 0.000
Symmetry: P4/mmm

Record 6
Below is Ba2AlZn6Pd after structural relaxation, with properties calculated at the PBE level.

```
Ba2AlZn6Pd
1.0
6.682 0.000 0.000
3.323 5.830 0.000
3.304 1.911 6.001
Ba Al Zn Pd
2 1 6 1
Cartesian
3.320 1.920 2.259 Ba
9.989 5.822 3.742 Ba
6.654 3.871 3.000 Al
5.305 3.091 5.114 Zn
6.634 5.414 5.130 Zn
5.319 4.646 0.877 Zn
7.990 3.096 5.123 Zn
6.675 2.328 0.871 Zn
8.004 4.650 0.887 Zn
0.000 0.000 0.000 Pd
```

## Properties
Energy relative to the elements (eV per atom): -0.27
Spin magnetization (μB per atom): 0.000
Symmetry: P-1

Record 7
Below is BaAlZn2Pd after structural relaxation, with properties calculated at the PBE level.

```
BaAlZn2Pd
1.0
4.982 0.000 0.000
0.000 4.982 0.000
0.000 0.000 4.822
Ba Al Zn Pd
1 1 2 1
Cartesian
0.000 0.000 0.000 Ba
2.491 2.491 0.000 Al
0.000 2.491 2.411 Zn
2.491 0.000 2.411 Zn
2.491 2.491 2.411 Pd
```

## Properties
Relative energy among the computed polymorphs (eV per atom): 0.000
Energy relative to the elements (eV per atom): -0.34
Spin magnetization (μB per atom): 0.000
Symmetry: P4/mmm

Record 8
Below is Ba2Al12ZnPd3 after structural relaxation, with properties calculated at the PBE level.

```
Ba2Al12ZnPd3
1.0
4.673 2.698 6.147
-4.673 2.698 6.147
0.000 -5.396 6.147
Ba Al Zn Pd
2 12 1 3
Cartesian
0.000 0.000 1.921 Ba
0.000 0.000 16.521 Ba
-2.189 -1.264 8.646 Al
0.000 -1.727 6.988 Al
-1.496 0.864 6.988 Al
0.000 -2.528 9.796 Al
-2.189 1.264 9.796 Al
-1.496 -0.864 11.453 Al
1.496 0.864 6.988 Al
2.189 -1.264 8.646 Al
0.000 2.528 8.646 Al
1.496 -0.864 11.453 Al
0.000 1.727 11.453 Al
2.189 1.264 9.796 Al
0.000 0.000 9.221 Zn
-2.337 -1.349 6.147 Pd
-2.337 1.349 12.295 Pd
0.000 2.698 6.147 Pd
```

## Properties
Energy relative to the elements (eV per atom): -0.09
Spin magnetization (μB per atom): 0.000
Symmetry: R-3m

Record 9
Below is Ba2AlZnPd2 after structural relaxation, with properties calculated at the PBE level.

```
Ba2AlZnPd2
1.0
-3.022 8.473 3.258
3.022 -8.473 3.258
3.022 8.473 -3.258
Ba Al Zn Pd
4 2 2 4
Cartesian
1.469 2.700 0.000 Ba
1.469 -2.700 3.258 Ba
1.553 11.173 0.000 Ba
1.553 5.774 3.258 Ba
3.022 0.000 1.629 Al
0.000 8.473 1.629 Al
0.000 0.000 1.629 Zn
0.000 0.000 4.887 Zn
4.436 1.353 0.000 Pd
1.414 7.120 0.000 Pd
1.608 1.353 3.258 Pd
-1.414 7.120 3.258 Pd
```

## Properties
Energy relative to the elements (eV per atom): -0.52
Spin magnetization (μB per atom): 0.000
Symmetry: Ibam

Record 10
Below is Ba3PmAl8 after structural relaxation, with properties calculated at the PBE level.

```
Ba3PmAl8
1.0
2.969 1.714 9.677
-2.969 1.714 9.677
0.000 -3.429 9.677
Ba Pm Al
3 1 8
Cartesian
0.000 0.000 0.000 Ba
0.000 0.000 3.574 Ba
0.000 0.000 14.458 Ba
0.000 0.000 18.086 Pm
-1.506 -0.869 11.364 Al
0.000 -1.719 6.695 Al
-1.489 0.860 6.695 Al
0.000 0.000 9.037 Al
1.506 -0.869 11.364 Al
0.000 1.738 11.364 Al
1.489 0.860 6.695 Al
0.000 0.000 23.523 Al
```

## Properties
Energy relative to the elements (eV per atom): -0.24
Spin magnetization (μB per atom): 0.000
Symmetry: R3m

Record 11
Below is BaPmAl after structural relaxation, with properties calculated at the PBE level.

```
BaPmAl
1.0
2.122 -11.810 0.000
2.122 11.810 0.000
0.000 0.000 4.529
Ba Pm Al
2 2 2
Cartesian
2.122 7.576 3.396 Ba
2.122 -7.576 1.132 Ba
2.122 10.374 1.132 Pm
2.122 -10.374 3.396 Pm
2.122 0.898 1.132 Al
2.122 -0.898 3.396 Al
```

## Properties
Relative energy among the computed polymorphs (eV per atom): 0.000
Energy relative to the elements (eV per atom): -0.11
Spin magnetization (μB per atom): 0.000
Symmetry: Cmcm

Record 12
Below is BaPm2Al9 after structural relaxation, with properties calculated at the PBE level.

```
BaPm2Al9
1.0
2.886 1.666 8.922
-2.886 1.666 8.922
0.000 -3.333 8.922
Ba Pm Al
1 2 9
Cartesian
0.000 0.000 0.000 Ba
0.000 0.000 3.779 Pm
0.000 0.000 22.986 Pm
-1.480 -0.854 11.191 Al
0.000 0.000 8.993 Al
0.000 -1.709 15.575 Al
-1.480 0.854 15.575 Al
0.000 0.000 13.383 Al
1.480 -0.854 11.191 Al
0.000 1.709 11.191 Al
0.000 0.000 17.773 Al
1.480 0.854 15.575 Al
```

## Properties
Energy relative to the elements (eV per atom): -0.33
Spin magnetization (μB per atom): 0.000
Symmetry: R-3m

Record 13
Below is BaPmAl after structural relaxation, with properties calculated at the PBE level.

```
BaPmAl
1.0
-1.976 1.976 6.925
1.976 -1.976 6.925
1.976 1.976 -6.925
Ba Pm Al
1 1 1
Cartesian
0.000 0.000 0.000 Ba
0.000 0.000 3.716 Pm
0.000 0.000 9.224 Al
```

## Properties
Relative energy among the computed polymorphs (eV per atom): 0.041
Energy relative to the elements (eV per atom): -0.07
Spin magnetization (μB per atom): 0.000
Symmetry: I4mm

Record 14
Below is BaPmAl2 after structural relaxation, with properties calculated at the PBE level.

```
BaPmAl2
1.0
3.924 0.000 0.000
0.000 3.924 0.000
0.000 0.000 7.844
Ba Pm Al
1 1 2
Cartesian
0.000 0.000 0.000 Ba
0.000 0.000 3.922 Pm
1.962 1.962 2.363 Al
1.962 1.962 5.481 Al
```

## Properties
Energy relative to the elements (eV per atom): -0.20
Spin magnetization (μB per atom): 0.000
Symmetry: P4/mmm

Record 15
Below is Ba2PmAl2S6 after structural relaxation, with properties calculated at the PBE level.

```
Ba2PmAl2S6
1.0
5.837 -3.624 0.000
5.837 3.624 0.000
-3.300 0.000 7.340
Ba Pm Al S
2 1 2 6
Cartesian
1.755 0.000 1.249 Ba
6.619 0.000 6.091 Ba
-1.650 0.000 3.670 Pm
3.144 0.000 4.893 Al
5.230 0.000 2.447 Al
4.507 1.858 1.460 S
1.033 0.000 4.293 S
3.867 1.858 5.881 S
4.507 -1.858 1.460 S
7.341 0.000 3.048 S
3.867 -1.858 5.881 S
```

## Properties
Spin magnetization (μB per atom): 0.091
Symmetry: C2/m
ΔE_f (raw) (kJ per mole of atoms): -147.2

Record 16
Below is Ba2PmAlS5 after structural relaxation, with properties calculated at the PBE level.

```
Ba2PmAlS5
1.0
2.054 -9.146 0.000
2.054 9.146 0.000
0.000 0.000 13.208
Ba Pm Al S
4 2 2 10
Cartesian
2.054 6.996 6.604 Ba
2.054 6.817 1.947 Ba
2.054 -6.817 8.551 Ba
2.054 -6.996 0.000 Ba
2.054 5.451 11.180 Pm
2.054 -5.451 4.577 Pm
2.054 1.032 3.136 Al
2.054 -1.032 9.740 Al
2.054 8.437 10.923 S
2.054 3.705 6.434 S
2.054 3.259 2.578 S
2.054 2.764 10.907 S
2.054 0.036 7.805 S
2.054 -0.036 1.201 S
2.054 -2.764 4.303 S
2.054 -3.259 9.182 S
2.054 -3.705 13.038 S
2.054 -8.437 4.319 S
```

## Properties
Spin magnetization (μB per atom): 0.000
Symmetry: Cmc2_1
ΔE_f (raw) (kJ per mole of atoms): -178.1

Record 17
Below is BaPmAlTe4 after structural relaxation, with properties calculated at the PBE level.

```
BaPmAlTe4
1.0
7.390 0.000 0.000
0.000 7.646 0.000
-2.790 0.000 8.901
Ba Pm Al Te
2 2 2 8
Cartesian
1.563 1.912 0.494 Ba
3.037 5.735 8.407 Ba
0.167 1.912 4.963 Pm
4.433 5.735 3.938 Pm
0.806 5.735 2.872 Al
3.794 1.912 6.029 Al
-1.930 3.901 6.452 Te
-1.930 7.569 6.452 Te
2.762 5.735 1.161 Te
1.603 5.735 5.329 Te
2.997 1.912 3.572 Te
1.838 1.912 7.740 Te
6.530 0.078 2.449 Te
6.530 3.746 2.449 Te
```

## Properties
Spin magnetization (μB per atom): 0.000
Symmetry: P2_1/m
ΔE_f (raw) (kJ per mole of atoms): -112.5

Record 18
Below is BaPmAlTl after structural relaxation, with properties calculated at the PBE level.

```
BaPmAlTl
1.0
0.000 4.010 4.010
4.010 0.000 4.010
4.010 4.010 0.000
Ba Pm Al Tl
1 1 1 1
Cartesian
0.000 0.000 0.000 Ba
4.010 4.010 4.010 Pm
2.005 2.005 2.005 Al
6.015 6.015 6.015 Tl
```

## Properties
Energy relative to the elements (eV per atom): -0.16
Spin magnetization (μB per atom): 0.000
Symmetry: F-43m

Record 19
Below is BaPm2Al3Zn6 after structural relaxation, with properties calculated at the PBE level.

```
BaPm2Al3Zn6
1.0
4.304 0.000 0.000
0.000 4.304 0.000
0.000 0.000 14.138
Ba Pm Al Zn
1 2 3 6
Cartesian
0.000 0.000 0.000 Ba
0.000 0.000 5.350 Pm
0.000 0.000 8.788 Pm
2.152 2.152 1.488 Al
2.152 2.152 7.069 Al
2.152 2.152 12.651 Al
0.000 2.152 2.940 Zn
0.000 2.152 11.198 Zn
2.152 0.000 2.940 Zn
2.152 0.000 11.198 Zn
2.152 2.152 4.442 Zn
2.152 2.152 9.697 Zn
```

## Properties
Energy relative to the elements (eV per atom): -0.23
Spin magnetization (μB per atom): 0.000
Symmetry: P4/mmm

Record 20
Below is BaPrAl after structural relaxation, with properties calculated at the PBE level.

```
BaPrAl
1.0
-1.993 1.993 6.980
1.993 -1.993 6.980
1.993 1.993 -6.980
Ba Pr Al
1 1 1
Cartesian
0.000 0.000 0.000 Ba
0.000 0.000 3.726 Pr
0.000 0.000 9.243 Al
```

## Properties
Energy relative to the elements (eV per atom): -0.07
Spin magnetization (μB per atom): 0.000
Symmetry: I4mm